[1]
Below is crystalline Tb3Dy4Tm4 at its relaxed geometry, with properties calculated at the PBE level.

Summary:
Its energy above the lowest structure with this stoichiometry is 0.0 meV per atom.

a b c (Å): 19.608 19.608 19.608
angles (deg): 169.70 165.43 17.88
Positions (direct):
1 Tb 0.000 0.000 0.000
2 Tb 0.363 0.363 0.000
3 Tb 0.637 0.637 0.000
4 Dy 0.182 0.182 0.000
5 Dy 0.454 0.454 0.000
6 Dy 0.546 0.546 0.000
7 Dy 0.818 0.818 0.000
8 Tm 0.091 0.091 0.000
9 Tm 0.272 0.272 0.000
10 Tm 0.728 0.728 0.000
11 Tm 0.909 0.909 0.000


[2]
Below is crystalline Tb14DyTm at its relaxed geometry, with properties calculated at the PBE level.

a b c (Å): 7.101 7.101 10.024
angles (deg): 90.00 90.00 90.00
Positions (direct):
1 Tb 0.000 0.000 0.000
2 Tb 0.000 0.500 0.000
3 Tb 0.000 0.500 0.500
4 Tb 0.250 0.250 0.251
5 Tb 0.250 0.250 0.749
6 Tb 0.250 0.750 0.251
7 Tb 0.250 0.750 0.749
8 Tb 0.500 0.000 0.000
9 Tb 0.500 0.000 0.500
10 Tb 0.500 0.500 0.000
11 Tb 0.750 0.250 0.251
12 Tb 0.750 0.250 0.749
13 Tb 0.750 0.750 0.251
14 Tb 0.750 0.750 0.749
15 Dy 0.000 0.000 0.500
16 Tm 0.500 0.500 0.500


[3]
Below is crystalline Tb5Dy12Tm at its relaxed geometry, with properties calculated at the PBE level.

a b c (Å): 10.607 10.607 6.123
angles (deg): 106.66 106.66 59.99
Positions (direct):
1 Tb 0.000 0.000 0.000
2 Tb 0.167 0.167 0.500
3 Tb 0.334 0.334 0.001
4 Tb 0.666 0.666 0.999
5 Tb 0.833 0.833 0.500
6 Dy 0.000 0.334 0.000
7 Dy 0.000 0.666 0.000
8 Dy 0.167 0.500 0.500
9 Dy 0.167 0.833 0.500
10 Dy 0.334 0.000 0.000
11 Dy 0.334 0.666 0.000
12 Dy 0.500 0.167 0.500
13 Dy 0.500 0.833 0.500
14 Dy 0.666 0.000 0.000
15 Dy 0.666 0.334 0.000
16 Dy 0.833 0.167 0.500
17 Dy 0.833 0.500 0.500
18 Tm 0.500 0.500 0.500


[4]
Below is crystalline Tb2Dy3Tm2 at its relaxed geometry, with properties calculated at the PBE level.

a b c (Å): 6.098 6.098 10.593
angles (deg): 95.62 95.62 33.55
Positions (direct):
1 Tb 0.215 0.215 0.357
2 Tb 0.785 0.785 0.643
3 Dy 0.357 0.357 0.929
4 Dy 0.500 0.500 0.500
5 Dy 0.643 0.643 0.071
6 Tm 0.071 0.071 0.787
7 Tm 0.929 0.929 0.213


[5]
Below is crystalline TbDy2Tm at its relaxed geometry, with properties calculated at the PBE level.

Summary:
Its energy above the lowest structure with this stoichiometry is 7.0 meV per atom.

a b c (Å): 3.553 3.553 11.556
angles (deg): 98.79 98.79 60.02
Positions (direct):
1 Tb 0.000 0.000 0.000
2 Dy 0.167 0.167 0.502
3 Dy 0.751 0.751 0.250
4 Tm 0.584 0.584 0.750


[6]
Below is crystalline TbDy3Tm at its relaxed geometry, with properties calculated at the PBE level.

Summary:
Its energy above the lowest structure with this stoichiometry is 320.7 meV per atom.

a b c (Å): 3.591 11.507 8.406
angles (deg): 90.00 102.30 90.00
Positions (direct):
1 Tb 0.185 0.250 0.368
2 Tb 0.815 0.750 0.632
3 Dy 0.154 0.750 0.309
4 Dy 0.350 0.000 0.700
5 Dy 0.350 0.500 0.700
6 Dy 0.650 0.000 0.300
7 Dy 0.650 0.500 0.300
8 Dy 0.846 0.250 0.691
9 Tm 0.487 0.750 0.975
10 Tm 0.513 0.250 0.025


[7]
Below is crystalline TbDy7Tm5 at its relaxed geometry, with properties calculated at the PBE level.

a b c (Å): 8.618 8.618 8.618
angles (deg): 134.95 99.67 97.21
Positions (direct):
1 Tb 0.000 0.000 0.000
2 Dy 0.115 0.443 0.672
3 Dy 0.194 0.694 0.500
4 Dy 0.272 0.944 0.327
5 Dy 0.386 0.386 0.000
6 Dy 0.617 0.944 0.673
7 Dy 0.693 0.693 0.000
8 Dy 0.771 0.443 0.328
9 Tm 0.422 0.428 0.463
10 Tm 0.422 0.959 0.995
11 Tm 0.693 0.193 0.500
12 Tm 0.965 0.428 0.005
13 Tm 0.965 0.959 0.537


[8]
Below is crystalline TbDy6Tm4 at its relaxed geometry, with properties calculated at the PBE level.

Summary:
Its energy above the lowest structure with this stoichiometry is 188.2 meV per atom.

a b c (Å): 9.631 9.631 9.631
angles (deg): 140.58 140.58 56.97
Positions (direct):
1 Tb 0.000 0.000 0.000
2 Dy 0.000 0.500 0.500
3 Dy 0.013 0.639 0.000
4 Dy 0.361 0.361 0.374
5 Dy 0.500 0.000 0.500
6 Dy 0.639 0.013 0.000
7 Dy 0.987 0.987 0.626
8 Tm 0.189 0.189 0.641
9 Tm 0.452 0.811 0.000
10 Tm 0.548 0.548 0.359
11 Tm 0.811 0.452 0.000


| no. | calculated formation energy (eV/atom) |
| --- | --- |
| 1 | 0.0198 |
| 2 | 0.0142 |
| 3 | 0.0182 |
| 4 | 0.0189 |
| 5 | 0.0116 |
| 6 | 0.3273 |
| 7 | 0.2563 |
| 8 | 0.3147 |